[1]
RbSnCl3 | GGA-PBE | relaxed

Crystal system: cubic
Formation energy (no corrections) (eV per atom): -1.344
Calculated density (Mg/m³): 2.74
Symmetry: Fd-3m (227)

abc: 10.2123 10.2123 10.2123
angles: 60.00 60.00 60.00
Positions (direct):
Sn  0.6250  0.1250  0.6250
Cl  0.7157  0.2843  0.2843
Cl  0.9657  0.5343  0.5343
Sn  0.6250  0.6250  0.6250
Cl  0.2843  0.2843  0.7157
Cl  0.7157  0.2843  0.7157
Sn  0.1250  0.6250  0.6250
Rb  0.1250  0.1250  0.1250
Cl  0.5343  0.5343  0.9657
Cl  0.2843  0.7157  0.2843
Sn  0.6250  0.6250  0.1250
Rb  0.1250  0.6250  0.1250
Cl  0.9657  0.5343  0.9657
Rb  0.1250  0.1250  0.6250
Cl  0.7157  0.7157  0.2843
Cl  0.9657  0.9657  0.5343
Cl  0.2843  0.7157  0.7157
Rb  0.6250  0.1250  0.1250
Cl  0.5343  0.9657  0.9657
Cl  0.5343  0.9657  0.5343

=====

[2]
Rb2Sn4Cl9 | GGA-PBE | relaxed

Crystal system: triclinic
Formation energy (no corrections) (eV per atom): -1.155
Calculated density (Mg/m³): 2.79
Symmetry: P-1 (2)

abc: 7.7888 7.8075 22.4496
angles: 92.36 86.83 57.76
Positions (direct):
Cl  0.3459  0.6214  0.0715
Cl  0.9427  0.6214  0.9114
Sn  0.6767  0.6690  0.5025
Rb  0.0133  0.9855  0.3505
Rb  0.9582  0.0453  0.1444
Rb  0.9867  0.0145  0.6495
Cl  0.9957  0.3278  0.4478
Rb  0.0418  0.9547  0.8556
Cl  0.0043  0.6722  0.5522
Cl  0.9926  0.7001  0.2378
Cl  0.6254  0.0556  0.0577
Cl  0.0074  0.2999  0.7622
Cl  0.0573  0.3786  0.0886
Sn  0.6609  0.6606  0.9985
Cl  0.3233  0.0981  0.5774
Sn  0.7047  0.6337  0.8134
Sn  0.2953  0.3663  0.1866
Cl  0.7929  0.8608  0.7601
Cl  0.5688  0.3801  0.5813
Cl  0.6074  0.3158  0.2671
Sn  0.6477  0.6066  0.3183
Sn  0.3391  0.3394  0.0015
Cl  0.2071  0.1392  0.2399
Cl  0.3746  0.9444  0.9423
Cl  0.4312  0.6199  0.4187
Sn  0.3233  0.3310  0.4975
Cl  0.3926  0.6842  0.7329
Sn  0.3523  0.3934  0.6817
Cl  0.6541  0.3786  0.9285
Cl  0.6767  0.9019  0.4226

=====

[3]
Rb4SnCl6 | GGA-PBE | relaxed

Crystal system: trigonal
Formation energy (no corrections) (eV per atom): -1.707
Calculated density (Mg/m³): 2.89
Symmetry: R-3c (167)

abc: 9.1796 9.1796 9.1796
angles: 90.28 90.28 89.72
Positions (direct):
Cl  0.5735  0.4417  0.2024
Cl  0.5583  0.2024  0.5735
Cl  0.4265  0.5583  0.7976
Cl  0.0735  0.2976  0.0583
Rb  0.7500  0.3753  0.8753
Cl  0.4417  0.7976  0.4265
Cl  0.7976  0.5735  0.5583
Sn  0.0000  0.0000  0.0000
Rb  0.6247  0.8753  0.7500
Cl  0.9417  0.0735  0.7024
Sn  0.5000  0.5000  0.5000
Rb  0.1247  0.7500  0.6247
Cl  0.9265  0.7024  0.9417
Cl  0.2024  0.4265  0.4417
Cl  0.0583  0.9265  0.2976
Rb  0.2500  0.2500  0.7500
Rb  0.3753  0.1247  0.2500
Rb  0.7500  0.7500  0.2500
Rb  0.2500  0.6247  0.1247
Cl  0.7024  0.0583  0.0735
Cl  0.2976  0.9417  0.9265
Rb  0.8753  0.2500  0.3753

=====

[4]
RbSnCl4 | GGA-PBE | relaxed

Crystal system: monoclinic
Formation energy (no corrections) (eV per atom): -1.215
Calculated density (Mg/m³): 2.35
Symmetry: C2/c (15)

abc: 9.0476 9.0476 7.7215
angles: 102.43 102.43 120.77
Positions (direct):
Rb  0.3695  0.6305  0.7500
Cl  0.1083  0.7473  0.4837
Sn  0.0804  0.9196  0.7500
Cl  0.6600  0.7539  0.2042
Rb  0.6305  0.3695  0.2500
Cl  0.7539  0.6600  0.7042
Cl  0.2461  0.3400  0.2958
Cl  0.3400  0.2461  0.7958
Cl  0.7473  0.1083  0.9837
Cl  0.8917  0.2527  0.5163
Sn  0.9196  0.0804  0.2500
Cl  0.2527  0.8917  0.0163

=====

[5]
RbSn2Cl6 | GGA-PBE | relaxed

Crystal system: monoclinic
Formation energy (no corrections) (eV per atom): -1.179
Calculated density (Mg/m³): 2.71
Symmetry: C2/m (12)

abc: 5.2888 7.1438 9.9017
angles: 73.77 74.51 68.27
Positions (direct):
Sn  0.8190  0.2266  0.1355
Rb  0.0000  0.5000  0.5000
Cl  0.9882  0.8413  0.1824
Cl  0.3237  0.7475  0.6051
Cl  0.6763  0.2525  0.3949
Cl  0.3062  0.2872  0.1003
Cl  0.0118  0.1587  0.8176
Cl  0.6938  0.7128  0.8997
Sn  0.1810  0.7734  0.8645

=====

[6]
RbSrSnCl5 | GGA-PBE | relaxed

Crystal system: monoclinic
Formation energy (no corrections) (eV per atom): -1.779
Calculated density (Mg/m³): 2.62
Symmetry: C2/c (15)

abc: 7.8758 7.8758 11.4607
angles: 110.92 110.92 96.63
Positions (direct):
Cl  0.3461  0.8867  0.5778
Sr  0.0000  0.0000  0.0000
Cl  0.8867  0.3461  0.0778
Cl  0.6539  0.1133  0.4222
Sn  0.2618  0.7382  0.7500
Cl  0.7707  0.6118  0.4040
Sr  0.0000  0.0000  0.5000
Cl  0.2293  0.3882  0.5960
Cl  0.6118  0.7707  0.9040
Cl  0.3882  0.2293  0.0960
Cl  0.0326  0.9674  0.2500
Sn  0.7382  0.2618  0.2500
Cl  0.9674  0.0326  0.7500
Rb  0.3230  0.6770  0.2500
Rb  0.6770  0.3230  0.7500
Cl  0.1133  0.6539  0.9222

=====

[7]
RbSnTe2Cl | GGA-PBE | relaxed

Crystal system: tetragonal
Formation energy (no corrections) (eV per atom): 0.863
Calculated density (Mg/m³): 3.10
Symmetry: P4/mmm (123)

abc: 6.1550 6.9947 6.1550
angles: 90.00 90.00 90.00
Positions (direct):
Te  0.0000  0.0000  0.5000
Cl  0.5000  0.5000  0.5000
Rb  0.0000  0.0000  0.0000
Sn  0.0000  0.5000  0.0000
Te  0.5000  0.0000  0.0000

=====

[8]
RbTl2SnCl6 | GGA-PBE | relaxed

Crystal system: trigonal
Formation energy (no corrections) (eV per atom): -1.158
Calculated density (Mg/m³): 3.53
Symmetry: R-3m (166)

abc: 8.0661 8.0661 14.5337
angles: 73.89 73.89 60.00
Positions (direct):
Sn  0.0000  0.0000  0.0000
Tl  0.8471  0.8471  0.4588
Cl  0.3665  0.3665  0.3858
Cl  0.8224  0.2502  0.1050
Cl  0.3665  0.8812  0.3858
Sn  0.5000  0.5000  0.5000
Cl  0.2502  0.8224  0.1050
Cl  0.6335  0.6335  0.6142
Cl  0.1188  0.6335  0.6142
Tl  0.2562  0.2562  0.2314
Cl  0.1776  0.7498  0.8950
Cl  0.8812  0.3665  0.3858
Tl  0.7438  0.7438  0.7686
Cl  0.6335  0.1188  0.6142
Tl  0.1529  0.1529  0.5412
Cl  0.7498  0.1776  0.8950
Rb  0.4058  0.4058  0.7826
Cl  0.8224  0.8224  0.1050
Rb  0.5942  0.5942  0.2174
Cl  0.1776  0.1776  0.8950

=====

[9]
Rb2TlSnCl5 | GGA-PBE | relaxed

Crystal system: orthorhombic
Formation energy (no corrections) (eV per atom): -1.413
Calculated density (Mg/m³): 3.54
Symmetry: Cmc2_1 (36)

abc: 4.8732 9.7412 13.6949
angles: 90.00 90.00 104.49
Positions (direct):
Cl  0.5116  0.0233  0.2771
Sn  0.4665  0.9329  0.4609
Cl  0.6107  0.2215  0.5043
Cl  0.2835  0.5670  0.6594
Rb  0.1113  0.2227  0.6913
Cl  0.6718  0.3436  0.8620
Cl  0.7165  0.4330  0.1594
Rb  0.8887  0.7773  0.1913
Cl  0.9511  0.9023  0.5621
Cl  0.0489  0.0977  0.0621
Cl  0.4884  0.9767  0.7771
Rb  0.1445  0.2890  0.2944
Sn  0.5335  0.0671  0.9609
Cl  0.3282  0.6564  0.3620
Rb  0.8555  0.7110  0.7944
Tl  0.2203  0.4405  0.0124
Tl  0.7797  0.5595  0.5124
Cl  0.3893  0.7785  0.0043

=====

[10]
RbTlSnCl4 | GGA-PBE | relaxed

Crystal system: tetragonal
Formation energy (no corrections) (eV per atom): -1.264
Calculated density (Mg/m³): 3.58
Symmetry: I4mm (107)

abc: 5.5845 5.5845 9.0957
angles: 107.88 107.88 90.00
Positions (direct):
Cl  0.1785  0.1785  0.3571
Tl  0.3546  0.3546  0.7093
Rb  0.6360  0.6360  0.2720
Cl  0.8326  0.8326  0.6652
Cl  0.0006  0.5006  0.0011
Sn  0.9971  0.9971  0.9943
Cl  0.5006  0.0006  0.0011

=====

[11]
Rb2TlSnCl6 | GGA-PBE | relaxed

Crystal system: trigonal
Formation energy (no corrections) (eV per atom): -1.362
Calculated density (Mg/m³): 3.17
Symmetry: R-3m (166)

abc: 7.8750 7.8750 14.5297
angles: 74.28 74.28 60.00
Positions (direct):
Tl  0.5884  0.5884  0.2348
Cl  0.8172  0.8172  0.1041
Rb  0.1445  0.1445  0.5666
Cl  0.6303  0.6303  0.6207
Cl  0.7385  0.1828  0.8959
Cl  0.3697  0.3697  0.3793
Cl  0.1188  0.6303  0.6207
Cl  0.6303  0.1188  0.6207
Rb  0.7299  0.7299  0.8102
Rb  0.8555  0.8555  0.4334
Cl  0.3697  0.8812  0.3793
Cl  0.1828  0.7385  0.8959
Sn  0.0000  0.0000  0.0000
Tl  0.4116  0.4116  0.7652
Rb  0.2701  0.2701  0.1898
Sn  0.5000  0.5000  0.5000
Cl  0.8172  0.2615  0.1041
Cl  0.1828  0.1828  0.8959
Cl  0.2615  0.8172  0.1041
Cl  0.8812  0.3697  0.3793

=====

[12]
Rb3Tl4SnCl8 | GGA-PBE | relaxed

Crystal system: monoclinic
Formation energy (no corrections) (eV per atom): -1.241
Calculated density (Mg/m³): 4.27
Symmetry: C2/m (12)

abc: 9.1643 9.1133 9.4378
angles: 118.84 119.05 90.00
Positions (direct):
Rb  0.0000  0.5000  0.5000
Cl  0.2487  0.2448  0.4974
Sn  0.0000  0.5000  0.0000
Cl  0.2299  0.7326  0.0004
Cl  0.7190  0.2153  0.4381
Cl  0.2810  0.7847  0.5619
Tl  0.0000  0.0000  0.0000
Rb  0.5000  0.5000  0.0000
Tl  0.5000  0.0000  0.0000
Cl  0.7701  0.2674  0.9996
Cl  0.2295  0.2674  0.9996
Cl  0.7705  0.7326  0.0004
Tl  0.0000  0.0000  0.5000
Tl  0.5000  0.0000  0.5000
Cl  0.7513  0.7552  0.5026
Rb  0.5000  0.5000  0.5000

=====

Looking at total magnetization for the records above, in order, we have 0.00; 2.00; 0.00; 2.00; 0.00; 0.00; 0.27; 0.00; 0.00; 0.00; 0.00; 1.00 μB per cell.
Looking at E_tot for the records above, in order, we have -3.45; -3.46; -3.43; -3.27; -3.41; -3.77; -1.76; -3.24; -3.36; -3.37; -3.30; -3.19 eV/atom.